a) Below is Tm2MnAl after structural relaxation, with properties calculated at the PBE-GGA level.

The structure in POSCAR format:
```
Tm2MnAl
1.0
3.5079 0.0000 0.0000
0.0000 3.5079 0.0000
0.0000 0.0000 7.1125
Tm Mn Al
2 1 1
Direct
0.0000 0.0000 0.2389 Tm
0.0000 0.0000 0.7611 Tm
0.5000 0.5000 0.0000 Mn
0.5000 0.5000 0.5000 Al
```

Fermi-level density of states = 3.4 states/eV/f.u.

***

b) Below is Tm2MnAl after structural relaxation, with properties calculated at the PBE-GGA level.

The structure in POSCAR format:
```
Tm2MnAl
1.0
1.6164 0.9332 10.6956
-1.6164 0.9332 10.6956
0.0000 -1.8665 10.6956
Tm Mn Al
2 1 1
Direct
0.0947 0.0947 0.0947 Tm
0.9053 0.9053 0.9053 Tm
0.5000 0.5000 0.5000 Mn
0.0000 0.0000 0.0000 Al
```

Fermi-level density of states = 3.9 states/eV/f.u.

***

c) Below is Tm2MnAl after structural relaxation, with properties calculated at the PBE-GGA level.

The structure in POSCAR format:
```
Tm2MnAl
1.0
0.0000 3.5393 3.5393
3.5393 0.0000 3.5393
3.5393 3.5393 0.0000
Tm Mn Al
2 1 1
Direct
0.2500 0.2500 0.2500 Tm
0.7500 0.7500 0.7500 Tm
0.0000 0.0000 0.0000 Mn
0.5000 0.5000 0.5000 Al
```

Fermi-level density of states = 4.9 states/eV/f.u.

***

Most stable: a) (next structure +43 meV per atom)

***

a) Below is MnAlV3 after structural relaxation, with properties calculated at the PBE-GGA level.

The structure in POSCAR format:
```
MnAlV3
1.0
4.3007 0.0000 0.0000
0.0000 4.3007 0.0000
0.0000 0.0000 4.3007
Mn Al V
1 1 3
Direct
0.0000 0.0000 0.0000 Mn
0.5000 0.5000 0.5000 Al
0.0000 0.0000 0.5000 V
0.0000 0.5000 0.0000 V
0.5000 0.0000 0.0000 V
```

Fermi-level density of states = 4.6 states/eV/f.u.

***

b) Below is MnAlV3 after structural relaxation, with properties calculated at the PBE-GGA level.

The structure in POSCAR format:
```
MnAlV3
1.0
-2.3495 4.6192 3.2026
2.3495 -4.6192 3.2026
2.3495 4.6192 -3.2026
Mn Al V
2 2 6
Direct
0.3630 0.1130 0.2500 Mn
0.6370 0.8870 0.7500 Mn
0.0000 0.0000 0.0000 Al
0.5000 0.0000 0.5000 Al
0.0000 0.0000 0.5000 V
0.0000 0.5000 0.0000 V
0.2132 0.6078 0.6054 V
0.4975 0.3922 0.1054 V
0.5025 0.6078 0.8946 V
0.7868 0.3922 0.3946 V
```

Fermi-level density of states = 4.8 states/eV/f.u.

***

Most stable: b) (next structure +539 meV per atom)